(1)
{
  "formula": "KNaS",
  "functional": "PBE",
  "state": "relaxed",
  "crystal_system": "trigonal",
  "n_ef_per_ev_cell": 0.00,
  "e_form_raw_ev_per_atom": -0.967,
  "lattice_angstrom": [[4.627, 0.000, 0.000], [-2.313, 4.007, 0.000], [0.000, 0.000, 4.599]],
  "species": ["K", "Na", "S"],
  "fractional_positions": [[0.000, 0.000, 0.000], [0.333, 0.667, 0.499], [0.667, 0.333, 0.497]]
}


(2)
{
  "formula": "K3NaS2",
  "functional": "PBE",
  "state": "relaxed",
  "crystal_system": "hexagonal",
  "polymorph_energy_mev_per_atom": 58.7,
  "n_ef_per_ev_cell": 0.00,
  "e_form_raw_ev_per_atom": -0.975,
  "lattice_angstrom": [[5.089, 0.000, 0.000], [-2.545, 4.407, 0.000], [0.000, 0.000, 7.389]],
  "species": ["K", "K", "K", "Na", "S", "S"],
  "fractional_positions": [[0.000, 0.000, 0.000], [0.333, 0.667, 0.251], [0.333, 0.667, 0.749], [0.667, 0.333, 0.500], [0.000, 0.000, 0.500], [0.667, 0.333, 0.000]]
}


(3)
{
  "formula": "K3NaS2",
  "functional": "PBE",
  "state": "relaxed",
  "crystal_system": "orthorhombic",
  "polymorph_energy_mev_per_atom": 21.0,
  "n_ef_per_ev_cell": 0.00,
  "e_form_raw_ev_per_atom": -1.013,
  "lattice_angstrom": [[-3.674, 7.325, 3.818], [3.674, -7.325, 3.818], [3.674, 7.325, -3.818]],
  "species": ["K", "K", "K", "K", "K", "K", "Na", "Na", "S", "S", "S", "S"],
  "fractional_positions": [[0.007, 0.750, 0.257], [0.250, 0.250, 0.000], [0.493, 0.750, 0.743], [0.507, 0.250, 0.257], [0.750, 0.750, 0.000], [0.993, 0.250, 0.743], [0.000, 0.500, 0.500], [0.500, 0.000, 0.500], [0.127, 0.243, 0.371], [0.373, 0.743, 0.116], [0.627, 0.257, 0.884], [0.873, 0.757, 0.629]]
}